# Li3DyHo2Se6

Li3DyHo2Se6 after structural relaxation (PBE, the Alexandria database).

Lattice parameters (Å, degrees): 7.0293 7.0293 6.9040 99.77 99.77 120.00
Last column: nearest neighbours and their distance in Å.
Atoms (fractional coordinates):
Ho 0.3334 0.6666 0.0000  6 Se 2.86
Li 0.5000 0.5000 0.5000  6 Se 2.83-2.84
Se 0.9158 0.5814 0.7475  3 Li 2.83-2.84, 2 Ho 2.86, 1 Dy 2.87
Li 0.1669 0.8331 0.5000  6 Se 2.83-2.85
Se 0.5814 0.9158 0.7475  3 Li 2.83-2.84, 2 Ho 2.86, 1 Dy 2.87
Se 0.7499 0.7499 0.2527  3 Li 2.83-2.85, 2 Ho 2.86, 1 Dy 2.87
Ho 0.6666 0.3334 0.0000  6 Se 2.86
Se 0.0842 0.4186 0.2525  3 Li 2.83-2.84, 2 Ho 2.86, 1 Dy 2.87
Li 0.8331 0.1669 0.5000  6 Se 2.83-2.85
Se 0.4186 0.0842 0.2525  3 Li 2.83-2.84, 2 Ho 2.86, 1 Dy 2.87
Se 0.2501 0.2501 0.7473  3 Li 2.83-2.85, 2 Ho 2.86, 1 Dy 2.87
Dy 0.0000 0.0000 0.0000  6 Se 2.87

Space group = No. 12


# Mg5ZnCdGa2

Mg5ZnCdGa2 after structural relaxation (PBE, the Alexandria database).

Lattice parameters (Å, degrees): 6.8570 6.8570 9.5050 111.14 111.14 90.00
Last column: nearest neighbours and their distance in Å.
Atoms (fractional coordinates):
Mg 0.3299 0.8299 0.2640  1 Zn 2.72, 1 Ga 2.74
Cd 0.2500 0.2500 0.5000  8 Mg 3.14, 4 Zn 3.43
Ga 0.6277 0.1277 0.0000  1 Ga 2.48, 4 Mg 2.70-2.74
Mg 0.5658 0.6701 0.7360  1 Zn 2.72, 1 Ga 2.74
Mg 0.1701 0.0658 0.7360  1 Zn 2.72, 1 Ga 2.74
Mg 0.9342 0.4342 0.2640  1 Zn 2.72, 1 Ga 2.74
Mg 0.4342 0.3299 0.2640  1 Zn 2.72, 1 Ga 2.74
Ga 0.8723 0.6277 0.0000  1 Ga 2.48, 4 Mg 2.70-2.74
Zn 0.2500 0.7500 0.5000  4 Mg 2.72
Mg 0.0000 0.0000 0.0000  4 Ga 2.70
Ga 0.1277 0.3723 0.0000  1 Ga 2.48, 4 Mg 2.70-2.74
Cd 0.7500 0.7500 0.5000  8 Mg 3.14, 4 Zn 3.43
Mg 0.6701 0.1701 0.7360  1 Zn 2.72, 1 Ga 2.74
Mg 0.5000 0.5000 0.0000  4 Ga 2.70
Ga 0.3723 0.8723 0.0000  1 Ga 2.48, 4 Mg 2.70-2.74
Mg 0.0658 0.5658 0.7360  1 Zn 2.72, 1 Ga 2.74
Zn 0.7500 0.2500 0.5000  4 Mg 2.72
Mg 0.8299 0.9342 0.2640  1 Zn 2.72, 1 Ga 2.74

Space group = No. 140
Energy of formation from the pure elements = -0.032 eV per atom


Number 1: total energy -5.065 eV/atom. Number 2: total energy -1.834 eV/atom.